Entry 1:
Material: Cs3Th3PaTe8
Method: DFT, PBE-GGA
State: relaxed

Lattice parameters (Å, degrees): 10.6762 10.6762 10.6762 49.43 49.43 49.43
Atoms (fractional coordinates):
1 Cs 0.0000 0.5000 0.5000
2 Cs 0.5000 0.0000 0.5000
3 Cs 0.5000 0.5000 0.0000
4 Th 0.0000 0.0000 0.5000
5 Th 0.0000 0.5000 0.0000
6 Th 0.5000 0.0000 0.0000
7 Pa 0.5000 0.5000 0.5000
8 Te 0.2335 0.2335 0.2335
9 Te 0.2346 0.7310 0.7310
10 Te 0.2690 0.2690 0.7654
11 Te 0.2690 0.7654 0.2690
12 Te 0.7310 0.2346 0.7310
13 Te 0.7310 0.7310 0.2346
14 Te 0.7654 0.2690 0.2690
15 Te 0.7665 0.7665 0.7665

Output
magnetization = 2.35 μB per cell
formation energy from raw total energies = -1120 meV/atom
density = 6.04 g/cm³

=====

Entry 2:
Material: Cs3Pa3TiTe8
Method: DFT, PBE-GGA
State: relaxed

Lattice parameters (Å, degrees): 10.6003 10.6003 10.6003 48.32 48.32 48.32
Atoms (fractional coordinates):
1 Cs 0.0000 0.5000 0.5000
2 Cs 0.5000 0.0000 0.5000
3 Cs 0.5000 0.5000 0.0000
4 Pa 0.0000 0.0000 0.5000
5 Pa 0.0000 0.5000 0.0000
6 Pa 0.5000 0.0000 0.0000
7 Ti 0.5000 0.5000 0.5000
8 Te 0.2329 0.2329 0.2329
9 Te 0.2433 0.7211 0.7211
10 Te 0.2789 0.2789 0.7567
11 Te 0.2789 0.7567 0.2789
12 Te 0.7211 0.2433 0.7211
13 Te 0.7211 0.7211 0.2433
14 Te 0.7567 0.2789 0.2789
15 Te 0.7671 0.7671 0.7671

Output
magnetization = 6.01 μB per cell
formation energy from raw total energies = -898 meV/atom
density = 5.89 g/cm³

=====

Entry 3:
Material: Cs3Pa3TlTe8
Method: DFT, PBE-GGA
State: relaxed

Lattice parameters (Å, degrees): 10.3716 10.3716 10.3716 52.85 52.85 52.85
Atoms (fractional coordinates):
1 Cs 0.0000 0.5000 0.5000
2 Cs 0.5000 0.0000 0.5000
3 Cs 0.5000 0.5000 0.0000
4 Pa 0.0000 0.0000 0.5000
5 Pa 0.0000 0.5000 0.0000
6 Pa 0.5000 0.0000 0.0000
7 Tl 0.5000 0.5000 0.5000
8 Te 0.1998 0.7463 0.7463
9 Te 0.2307 0.2307 0.2307
10 Te 0.2537 0.2537 0.8002
11 Te 0.2537 0.8002 0.2537
12 Te 0.7463 0.1998 0.7463
13 Te 0.7463 0.7463 0.1998
14 Te 0.7693 0.7693 0.7693
15 Te 0.8002 0.2537 0.2537

Output
magnetization = 3.01 μB per cell
formation energy from raw total energies = -887 meV/atom
density = 5.86 g/cm³

=====

Entry 4:
Material: Cs3PaTl2Te6
Method: DFT, PBE-GGA
State: relaxed

Lattice parameters (Å, degrees): 8.2109 8.2109 9.2338 98.22 98.22 120.47
Atoms (fractional coordinates):
1 Cs 0.0000 0.0000 0.0000
2 Cs 0.3222 0.6778 0.0000
3 Cs 0.6778 0.3222 0.0000
4 Pa 0.5000 0.5000 0.5000
5 Tl 0.1631 0.8369 0.5000
6 Tl 0.8369 0.1631 0.5000
7 Te 0.1288 0.4350 0.3097
8 Te 0.2652 0.2652 0.7002
9 Te 0.4350 0.1288 0.3097
10 Te 0.5650 0.8712 0.6903
11 Te 0.7348 0.7348 0.2998
12 Te 0.8712 0.5650 0.6903

Output
magnetization = 0.00 μB per cell
formation energy from raw total energies = -728 meV/atom
density = 5.83 g/cm³

=====

Entry 5:
Material: Cs2Tm2PaTe6
Method: DFT, PBE-GGA
State: relaxed

Lattice parameters (Å, degrees): 7.6780 7.6780 9.5451 97.71 97.71 120.05
Atoms (fractional coordinates):
1 Cs 0.1660 0.8340 0.0000
2 Cs 0.8340 0.1660 0.0000
3 Tm 0.3326 0.6674 0.5000
4 Tm 0.6674 0.3326 0.5000
5 Pa 0.0000 0.0000 0.5000
6 Te 0.0643 0.3981 0.6878
7 Te 0.2749 0.2749 0.3131
8 Te 0.3981 0.0643 0.6878
9 Te 0.6019 0.9357 0.3122
10 Te 0.7251 0.7251 0.6869
11 Te 0.9357 0.6019 0.3122

Output
magnetization = 1.04 μB per cell
formation energy from raw total energies = -1235 meV/atom
density = 5.66 g/cm³

=====

Entry 6:
Material: Cs3YPa3Te8
Method: DFT, PBE-GGA
State: relaxed

Lattice parameters (Å, degrees): 10.5801 10.5801 10.5801 49.47 49.47 49.47
Atoms (fractional coordinates):
1 Cs 0.0000 0.5000 0.5000
2 Cs 0.5000 0.0000 0.5000
3 Cs 0.5000 0.5000 0.0000
4 Y 0.5000 0.5000 0.5000
5 Pa 0.0000 0.0000 0.5000
6 Pa 0.0000 0.5000 0.0000
7 Pa 0.5000 0.0000 0.0000
8 Te 0.2295 0.7315 0.7315
9 Te 0.2320 0.2320 0.2320
10 Te 0.2685 0.2685 0.7705
11 Te 0.2685 0.7705 0.2685
12 Te 0.7315 0.2295 0.7315
13 Te 0.7315 0.7315 0.2295
14 Te 0.7680 0.7680 0.7680
15 Te 0.7705 0.2685 0.2685

Output
magnetization = 5.03 μB per cell
formation energy from raw total energies = -1039 meV/atom
density = 5.81 g/cm³

=====

Entry 7:
Material: Cs2YPa2Te6
Method: DFT, PBE-GGA
State: relaxed

Lattice parameters (Å, degrees): 7.6565 7.6565 9.6363 97.59 97.59 120.00
Atoms (fractional coordinates):
1 Cs 0.1661 0.8339 0.0000
2 Cs 0.8339 0.1661 0.0000
3 Y 0.0000 0.0000 0.5000
4 Pa 0.3329 0.6671 0.5000
5 Pa 0.6671 0.3329 0.5000
6 Te 0.0659 0.3977 0.6920
7 Te 0.2722 0.2722 0.3085
8 Te 0.3977 0.0659 0.6920
9 Te 0.6023 0.9341 0.3080
10 Te 0.7278 0.7278 0.6915
11 Te 0.9341 0.6023 0.3080

Output
magnetization = 3.03 μB per cell
formation energy from raw total energies = -1085 meV/atom
density = 5.57 g/cm³

=====

Entry 8:
Material: Cs2Y2PaTe6
Method: DFT, PBE-GGA
State: relaxed

Lattice parameters (Å, degrees): 7.7328 7.7328 9.5586 97.85 97.85 119.99
Atoms (fractional coordinates):
1 Cs 0.1671 0.8329 0.0000
2 Cs 0.8329 0.1671 0.0000
3 Y 0.3325 0.6675 0.5000
4 Y 0.6675 0.3325 0.5000
5 Pa 0.0000 0.0000 0.5000
6 Te 0.0657 0.3957 0.6894
7 Te 0.2698 0.2698 0.3117
8 Te 0.3957 0.0657 0.6894
9 Te 0.6043 0.9343 0.3106
10 Te 0.7302 0.7302 0.6883
11 Te 0.9343 0.6043 0.3106

Output
magnetization = 1.05 μB per cell
formation energy from raw total energies = -1265 meV/atom
density = 5.02 g/cm³

=====

Copy entry 1 word for word.
Material: Cs3Th3PaTe8
Method: DFT, PBE-GGA
State: relaxed

Lattice parameters (Å, degrees): 10.6762 10.6762 10.6762 49.43 49.43 49.43
Atoms (fractional coordinates):
1 Cs 0.0000 0.5000 0.5000
2 Cs 0.5000 0.0000 0.5000
3 Cs 0.5000 0.5000 0.0000
4 Th 0.0000 0.0000 0.5000
5 Th 0.0000 0.5000 0.0000
6 Th 0.5000 0.0000 0.0000
7 Pa 0.5000 0.5000 0.5000
8 Te 0.2335 0.2335 0.2335
9 Te 0.2346 0.7310 0.7310
10 Te 0.2690 0.2690 0.7654
11 Te 0.2690 0.7654 0.2690
12 Te 0.7310 0.2346 0.7310
13 Te 0.7310 0.7310 0.2346
14 Te 0.7654 0.2690 0.2690
15 Te 0.7665 0.7665 0.7665

Output
magnetization = 2.35 μB per cell
formation energy from raw total energies = -1120 meV/atom
density = 6.04 g/cm³

=====

Q: density of number 8 (Cs2Y2PaTe6)?
A: 5.02 g/cm³

=====

Q: Look up the formation energy from raw total energies of the second one.
A: -898 meV/atom